Entry 1:
A plane-wave DFT calculation with PBE was carried out for crystalline ZrTi3Se at its relaxed geometry.

Cell lengths 4.8765, 4.8765, 4.8765 Å; angles 90.00, 90.00, 90.00 degrees
Last column: nearest neighbours and their distance in Å.
Sites, in units of the cell vectors:
Se 0.5000 0.5000 0.5000  12 Ti 3.45
Zr 0.0000 0.0000 0.0000  6 Ti 2.44
Ti 0.0000 0.5000 0.0000  2 Zr 2.44
Ti 0.0000 0.0000 0.5000  2 Zr 2.44
Ti 0.5000 0.0000 0.0000  2 Zr 2.44

Computed properties:
ΔE to the lowest computed polymorph = 1.607 eV/atom
E_form (uncorrected) = 1.109 eV/atom
total energy = -6.034 eV/atom



Entry 2:
A plane-wave DFT calculation with PBE was carried out for crystalline ZrTiSe at its relaxed geometry.

Cell lengths 3.6506, 3.6506, 9.0294 Å; angles 90.00, 90.00, 90.00 degrees
Last column: nearest neighbours and their distance in Å.
Sites, in units of the cell vectors:
Zr 0.7500 0.2500 0.2359  4 Se 2.74, 1 Ti 2.91
Zr 0.2500 0.7500 0.7641  4 Se 2.74, 1 Ti 2.91
Ti 0.7500 0.2500 0.5577  4 Ti 2.78, 1 Se 2.80, 1 Zr 2.91
Ti 0.2500 0.7500 0.4423  4 Ti 2.78, 1 Se 2.80, 1 Zr 2.91
Se 0.2500 0.7500 0.1327  4 Zr 2.74, 1 Ti 2.80
Se 0.7500 0.2500 0.8673  4 Zr 2.74, 1 Ti 2.80

Computed properties:
ΔE to the lowest computed polymorph = 0.000 eV/atom
E_form (uncorrected) = -0.837 eV/atom
total energy = -7.479 eV/atom